Entry 1:
{"formula": "GdErPd", "functional": "GGA-PBE", "state": "optimized geometry", "lattice_angstrom": [[-1.8407, -3.5394, 2.8254], [2.2351, -4.3406, 0.2479], [2.3275, -1.3207, 4.0911]], "species": ["Er", "Pd", "Gd"], "fractional_positions": [[0.5000, 0.5000, 0.5000], [0.2500, 0.2500, 0.2500], [0.0000, 0.0000, 0.0000]], "polymorph_energy_kcal_per_mol_atoms": 1.95, "e_form_ev_per_atom": -0.473}

Entry 2:
{"formula": "GdErPd", "functional": "GGA-PBE", "state": "optimized geometry", "lattice_angstrom": [[-3.5077, -0.2433, -0.6183], [0.2801, -3.5540, -0.1905], [0.6173, 1.5089, 6.2110]], "species": ["Pd", "Er", "Gd"], "fractional_positions": [[0.6736, 0.6736, 0.3473], [0.3056, 0.3056, 0.6111], [0.0208, 0.0208, 0.0416]], "polymorph_energy_kcal_per_mol_atoms": 0.00, "e_form_ev_per_atom": -0.557}

Entry 3:
{"formula": "GdEr2Pd", "functional": "GGA-PBE", "state": "optimized geometry", "lattice_angstrom": [[-3.0257, 0.8555, -1.6275], [1.0871, -1.6951, -2.9121], [-3.5529, -7.1599, 2.8414]], "species": ["Er", "Er", "Pd", "Gd"], "fractional_positions": [[0.0000, 0.0000, 0.8048], [0.0000, 0.0000, 0.1952], [0.5000, 0.5000, 0.0000], [0.5000, 0.5000, 0.5000]], "polymorph_energy_kcal_per_mol_atoms": 0.00, "e_form_ev_per_atom": -0.430}

Entry 4:
{"formula": "Gd2ErPd", "functional": "GGA-PBE", "state": "optimized geometry", "lattice_angstrom": [[3.6147, 0.0000, 0.0000], [0.0000, 3.6147, 0.0000], [0.0000, 0.0000, 8.3174]], "species": ["Gd", "Gd", "Pd", "Er"], "fractional_positions": [[0.0000, 0.0000, 0.2031], [0.0000, 0.0000, 0.7969], [0.5000, 0.5000, 0.0000], [0.5000, 0.5000, 0.5000]], "polymorph_energy_kcal_per_mol_atoms": 0.00, "e_form_ev_per_atom": -0.375}

Entry 5:
{"formula": "Gd2ErPd", "functional": "GGA-PBE", "state": "optimized geometry", "lattice_angstrom": [[-1.5100, -3.0723, 1.3522], [1.9191, -3.1407, 0.0165], [3.6227, 0.1059, 9.2956]], "species": ["Pd", "Er", "Gd", "Gd"], "fractional_positions": [[0.0000, 0.0000, 0.0000], [0.5000, 0.5000, 0.5000], [0.7339, 0.7339, 0.7984], [0.2661, 0.2661, 0.2016]], "polymorph_energy_kcal_per_mol_atoms": 2.42, "e_form_ev_per_atom": -0.270}

Entry 6:
{"formula": "GdErPd2", "functional": "GGA-PBE", "state": "optimized geometry", "lattice_angstrom": [[-2.7136, 1.4034, -1.5853], [-2.7970, -3.9532, 1.2882], [-1.2956, 2.3039, 4.2572]], "species": ["Gd", "Er", "Pd", "Pd"], "fractional_positions": [[0.5000, 0.0000, 0.0000], [0.5000, 0.5000, 0.5000], [0.0000, 0.0000, 0.5000], [0.0000, 0.5000, 0.0000]], "polymorph_energy_kcal_per_mol_atoms": 0.00, "e_form_ev_per_atom": -0.874}

Entry 7:
{"formula": "GdEr2Pd", "functional": "GGA-PBE", "state": "optimized geometry", "lattice_angstrom": [[-2.8819, 0.7635, -2.0849], [-0.1671, -1.2657, -3.4066], [-5.4799, -8.2338, 1.3855]], "species": ["Er", "Er", "Pd", "Gd"], "fractional_positions": [[0.7321, 0.7321, 0.8037], [0.2679, 0.2679, 0.1963], [0.0000, 0.0000, 0.0000], [0.5000, 0.5000, 0.5000]], "polymorph_energy_kcal_per_mol_atoms": 3.04, "e_form_ev_per_atom": -0.298}

Entry 8:
{"formula": "GdErPdRu", "functional": "GGA-PBE", "state": "optimized geometry", "lattice_angstrom": [[4.8791, 0.0000, 0.0000], [2.4395, 4.2254, 0.0000], [2.4395, 1.4085, 3.9838]], "species": ["Gd", "Pd", "Ru", "Er"], "fractional_positions": [[0.5000, 0.5000, 0.5000], [0.2500, 0.2500, 0.2500], [0.7500, 0.7500, 0.7500], [0.0000, 0.0000, 0.0000]], "e_form_ev_per_atom": -0.630}

Entry 9:
{"formula": "GdErScPd", "functional": "GGA-PBE", "state": "optimized geometry", "lattice_angstrom": [[5.1502, 0.0000, 0.0000], [2.5751, 4.4602, 0.0000], [2.5751, 1.4867, 4.2051]], "species": ["Pd", "Sc", "Gd", "Er"], "fractional_positions": [[0.2500, 0.2500, 0.2500], [0.7500, 0.7500, 0.7500], [0.5000, 0.5000, 0.5000], [0.0000, 0.0000, 0.0000]], "e_form_ev_per_atom": -0.189}

Entry 10:
{"formula": "GdErSiPd", "functional": "GGA-PBE", "state": "optimized geometry", "lattice_angstrom": [[-1.5738, -1.2366, -4.5527], [1.9060, -3.9795, -2.2942], [-2.7861, -4.0682, -0.6482]], "species": ["Gd", "Si", "Pd", "Er"], "fractional_positions": [[0.5000, 0.5000, 0.5000], [0.7500, 0.7500, 0.7500], [0.2500, 0.2500, 0.2500], [0.0000, 0.0000, 0.0000]], "e_form_raw_mev_per_atom": -725.8}

Entry 11:
{"formula": "GdErTcPd", "functional": "GGA-PBE", "state": "optimized geometry", "lattice_angstrom": [[-3.9415, -0.8587, -2.7508], [0.5054, -1.9413, -4.4514], [-1.4384, -4.5897, -0.8394]], "species": ["Gd", "Er", "Tc", "Pd"], "fractional_positions": [[0.7500, 0.7500, 0.7500], [0.2500, 0.2500, 0.2500], [0.5000, 0.5000, 0.5000], [0.0000, 0.0000, 0.0000]], "e_form_ev_per_atom": -0.363}

Entry 12:
{"formula": "GdErTlPd", "functional": "GGA-PBE", "state": "optimized geometry", "lattice_angstrom": [[-4.6170, -2.3046, 0.4830], [-1.4486, -1.9679, 4.5706], [-3.7651, 2.2874, 2.7300]], "species": ["Tl", "Er", "Pd", "Gd"], "fractional_positions": [[0.2500, 0.2500, 0.2500], [0.5000, 0.5000, 0.5000], [0.7500, 0.7500, 0.7500], [0.0000, 0.0000, 0.0000]], "e_form_ev_per_atom": -0.541}

Entry 13:
{"formula": "PmGd2Er", "functional": "GGA-PBE", "state": "optimized geometry", "lattice_angstrom": [[5.0721, 0.0000, 0.0000], [0.0000, 5.0525, 0.0000], [0.0000, 0.0000, 5.0525]], "species": ["Gd", "Gd", "Pm", "Er"], "fractional_positions": [[0.0000, 0.5000, 0.0000], [0.0000, 0.0000, 0.5000], [0.5000, 0.5000, 0.5000], [0.5000, 0.0000, 0.0000]], "polymorph_energy_kcal_per_mol_atoms": 0.00, "e_form_ev_per_atom": 0.022}

Entry 14:
{"formula": "PmGdEr2", "functional": "GGA-PBE", "state": "optimized geometry", "lattice_angstrom": [[4.9981, 0.0000, 0.0000], [0.0000, 5.0498, 0.0000], [0.0000, 0.0000, 5.0498]], "species": ["Er", "Er", "Pm", "Gd"], "fractional_positions": [[0.0000, 0.0000, 0.5000], [0.0000, 0.5000, 0.0000], [0.5000, 0.5000, 0.5000], [0.5000, 0.0000, 0.0000]], "polymorph_energy_kcal_per_mol_atoms": 0.00, "e_form_ev_per_atom": 0.018}

Entry 15:
{"formula": "PmGd2Er", "functional": "GGA-PBE", "state": "optimized geometry", "lattice_angstrom": [[-2.7245, -0.6326, -2.2342], [-0.6019, -3.3208, -1.1937], [-8.1276, -3.3269, 7.9855]], "species": ["Gd", "Gd", "Pm", "Er"], "fractional_positions": [[0.2513, 0.2513, 0.2460], [0.7487, 0.7487, 0.7540], [0.5000, 0.5000, 0.5000], [0.0000, 0.0000, 0.0000]], "polymorph_energy_kcal_per_mol_atoms": 0.09, "e_form_ev_per_atom": 0.026}

Entry 16:
{"formula": "Pm2GdEr", "functional": "GGA-PBE", "state": "optimized geometry", "lattice_angstrom": [[5.0673, 0.0000, 0.0000], [0.0000, 5.0938, 0.0000], [0.0000, 0.0000, 5.0938]], "species": ["Pm", "Pm", "Er", "Gd"], "fractional_positions": [[0.0000, 0.5000, 0.0000], [0.0000, 0.0000, 0.5000], [0.5000, 0.5000, 0.5000], [0.5000, 0.0000, 0.0000]], "polymorph_energy_kcal_per_mol_atoms": 0.00, "e_form_ev_per_atom": 0.014}

Entry 17:
{"formula": "PmGdEr", "functional": "GGA-PBE", "state": "optimized geometry", "lattice_angstrom": [[-1.8169, -3.5309, -1.2429], [0.8677, -1.7412, 3.6781], [-4.5109, 4.4802, 0.8315]], "species": ["Er", "Pm", "Gd"], "fractional_positions": [[0.6133, 0.6133, 0.2266], [0.2811, 0.2811, 0.5622], [0.9556, 0.9556, 0.9112]], "polymorph_energy_kcal_per_mol_atoms": 0.71, "e_form_ev_per_atom": 0.100}

Entry 18:
{"formula": "PmGd2Er", "functional": "GGA-PBE", "state": "optimized geometry", "lattice_angstrom": [[-1.1334, 4.9134, -2.6537], [-4.5173, 0.3986, -3.4501], [-4.5134, 3.1071, 1.5631]], "species": ["Gd", "Gd", "Er", "Pm"], "fractional_positions": [[0.2500, 0.2500, 0.2500], [0.7500, 0.7500, 0.7500], [0.5000, 0.5000, 0.5000], [0.0000, 0.0000, 0.0000]], "polymorph_energy_kcal_per_mol_atoms": 1.79, "e_form_ev_per_atom": 0.100}

Entry 19:
{"formula": "PmGd2Er", "functional": "GGA-PBE", "state": "optimized geometry", "lattice_angstrom": [[3.5798, 0.0000, 0.0000], [0.0000, 3.5798, 0.0000], [0.0000, 0.0000, 10.1182]], "species": ["Er", "Gd", "Gd", "Pm"], "fractional_positions": [[0.5000, 0.5000, 0.0000], [0.0000, 0.0000, 0.7545], [0.0000, 0.0000, 0.2455], [0.5000, 0.5000, 0.5000]], "polymorph_energy_kcal_per_mol_atoms": 0.11, "e_form_ev_per_atom": 0.027}

Entry 20:
{"formula": "PmGdEr2", "functional": "GGA-PBE", "state": "optimized geometry", "lattice_angstrom": [[-0.0107, -2.9470, 2.0149], [-0.1150, -2.0136, -2.9457], [10.0161, -0.2069, -0.2496]], "species": ["Pm", "Gd", "Er", "Er"], "fractional_positions": [[0.5000, 0.5000, 0.5000], [0.5000, 0.5000, 0.0000], [0.0000, 0.0000, 0.7514], [0.0000, 0.0000, 0.2486]], "polymorph_energy_kcal_per_mol_atoms": 0.18, "e_form_ev_per_atom": 0.026}

| no. | final energy (eV per atom) |
| --- | --- |
| 1 | -8.418 |
| 2 | -8.503 |
| 3 | -7.529 |
| 4 | -9.855 |
| 5 | -9.750 |
| 6 | -8.131 |
| 7 | -7.397 |
| 8 | -8.909 |
| 9 | -7.731 |
| 10 | -8.041 |
| 11 | -8.914 |
| 12 | -7.091 |
| 13 | -9.347 |
| 14 | -6.971 |
| 15 | -9.343 |
| 16 | -7.022 |
| 17 | -7.698 |
| 18 | -9.269 |
| 19 | -9.342 |
| 20 | -6.963 |